Computed, not measured: an optimized crystal structure of InP2RuW at the PBE-GGA level of DFT.

a = 4.7616 Å, b = 4.7616 Å, c = 5.1173 Å
α = 90.00°, β = 90.00°, γ = 90.00°
Space group P4/mmm (No. 123)
Inequivalent atoms, fractional coordinates:
1 In 0.0000 0.0000 0.0000 (multiplicity 1)
2 P 0.0000 0.5000 0.0000 (multiplicity 2)
3 Ru 0.5000 0.5000 0.5000 (multiplicity 1)
4 W 0.0000 0.0000 0.5000 (multiplicity 1)

The total energy is -4.640 eV per atom. The value obtained for the formation energy from the elements is 1215 kJ/mol of formula units.


Computed, not measured: an optimized crystal structure of Zn2InPRu at the PBE-GGA level of DFT.

a = 4.9332 Å, b = 4.9332 Å, c = 5.0304 Å
α = 90.00°, β = 90.00°, γ = 90.00°
Space group P4/mmm (No. 123)
Inequivalent atoms, fractional coordinates:
1 Zn 0.0000 0.5000 0.0000 (multiplicity 2)
2 In 0.0000 0.0000 0.0000 (multiplicity 1)
3 P 0.0000 0.0000 0.5000 (multiplicity 1)
4 Ru 0.5000 0.5000 0.5000 (multiplicity 1)

The total energy is -2.518 eV per atom. The value obtained for the formation energy from the elements is 712 kJ/mol of formula units.


Computed, not measured: an optimized crystal structure of ZnInP2Ru at the PBE-GGA level of DFT.

a = 4.9944 Å, b = 4.9944 Å, c = 4.8796 Å
α = 90.00°, β = 90.00°, γ = 90.00°
Space group P4/mmm (No. 123)
Inequivalent atoms, fractional coordinates:
1 Zn 0.0000 0.0000 0.0000 (multiplicity 1)
2 In 0.0000 0.0000 0.5000 (multiplicity 1)
3 P 0.0000 0.5000 0.5000 (multiplicity 2)
4 Ru 0.5000 0.5000 0.0000 (multiplicity 1)

The total energy is -3.179 eV per atom. The value obtained for the formation energy from the elements is 792 kJ/mol of formula units.


Computed, not measured: an optimized crystal structure of InPS4 at the PBE-GGA level of DFT.

a = 13.8383 Å, b = 3.4713 Å, c = 6.2180 Å
α = 90.00°, β = 114.71°, γ = 90.00°
Space group C2/m (No. 12)
Inequivalent atoms, fractional coordinates:
1 In 0.0000 0.0000 0.0000 (multiplicity 2)
2 P 0.0000 0.5000 0.5000 (multiplicity 2)
3 S 0.1093 0.0000 0.7388 (multiplicity 4)
4 S 0.1098 0.5000 0.3187 (multiplicity 4)

The total energy is -4.197 eV per atom. For the formation energy (no corrections), the calculation gives -87 meV/atom.


Repeat the second record exactly.
Computed, not measured: an optimized crystal structure of Zn2InPRu at the PBE-GGA level of DFT.

a = 4.9332 Å, b = 4.9332 Å, c = 5.0304 Å
α = 90.00°, β = 90.00°, γ = 90.00°
Space group P4/mmm (No. 123)
Inequivalent atoms, fractional coordinates:
1 Zn 0.0000 0.5000 0.0000 (multiplicity 2)
2 In 0.0000 0.0000 0.0000 (multiplicity 1)
3 P 0.0000 0.0000 0.5000 (multiplicity 1)
4 Ru 0.5000 0.5000 0.5000 (multiplicity 1)

The total energy is -2.518 eV per atom. The value obtained for the formation energy from the elements is 712 kJ/mol of formula units.